i:
Below is an optimized crystal structure of HfSc2Tl2, with properties calculated at the PBE level.

Calculated values
D(E_F)	4.60	states/eV/f.u.
magnetic moment	0.53	μB per cell
V	23.64	Å³/atom

abc: 8.557 8.557 3.228
angles: 90.00 90.00 90.00
Space group P4/mbm (No. 127)
Unique sites:
Hf 0.000 0.000 0.000
Sc 0.124 0.376 0.000
Tl 0.175 0.675 0.500

=====

ii:
Below is an optimized crystal structure of HfSc2Tl2, with properties calculated at the PBE level.

Calculated values
D(E_F)	6.42	states/eV/f.u.
magnetic moment	1.46	μB per cell
V	23.61	Å³/atom

abc: 8.120 8.120 3.581
angles: 90.00 90.00 90.00
Space group P4/mbm (No. 127)
Unique sites:
Hf 0.000 0.000 0.000
Sc 0.168 0.332 0.500
Tl 0.137 0.637 0.000

=====

Least stable of them? i.

=====

i:
Below is an optimized crystal structure of Hf2ScTl, with properties calculated at the PBE level.

Calculated values
D(E_F)	3.73	states/eV/f.u.
magnetic moment	0.00	μB per cell
V	23.91	Å³/atom

abc: 4.231 4.368 10.564
angles: 90.00 101.50 90.00
Space group P2_1/m (No. 11)
Unique sites:
Hf 0.052 0.250 0.104
Hf 0.447 0.250 0.894
Sc 0.310 0.750 0.620
Tl 0.166 0.750 0.333

=====

ii:
Below is an optimized crystal structure of Hf2ScTl, with properties calculated at the PBE level.

Calculated values
D(E_F)	1.83	states/eV/f.u.
magnetic moment	0.00	μB per cell
V	22.17	Å³/atom

abc: 7.079 7.079 7.079
angles: 90.00 90.00 90.00
Space group Fm-3m (No. 225)
Unique sites:
Hf 0.250 0.250 0.250
Sc 0.000 0.000 0.000
Tl 0.000 0.000 0.500

=====

iii:
Below is an optimized crystal structure of Hf2ScTl, with properties calculated at the PBE level.

Calculated values
D(E_F)	3.93	states/eV/f.u.
magnetic moment	1.90	μB per cell
V	23.83	Å³/atom

abc: 3.1217 3.1217 33.8830
angles: 90.00 90.00 120.00
Space group R-3m (No. 166, hexagonal axes)
Unique sites:
Hf 0.0000 0.0000 0.0889
Sc 0.0000 0.0000 0.0000
Tl 0.0000 0.0000 0.5000

=====

iv:
Below is an optimized crystal structure of Hf2ScTl, with properties calculated at the PBE level.

Calculated values
D(E_F)	4.65	states/eV/f.u.
magnetic moment	0.00	μB per cell
V	23.27	Å³/atom

abc: 3.2589 3.2589 30.3586
angles: 90.00 90.00 120.00
Space group R3m (No. 160, hexagonal axes)
Unique sites:
Hf 0.0000 0.0000 0.0000
Hf 0.0000 0.0000 0.1637
Sc 0.0000 0.0000 0.7490
Tl 0.0000 0.0000 0.5821

=====

Least stable of them? iii.